Record 1
LaScPt: relaxed, PBE-GGA.

```
LaScPt
1.0
4.624 -0.223 -0.040
0.223 4.624 -0.038
0.168 0.156 6.998
Pt La Sc
2 2 2
Direct
0.806 0.858 0.130
0.322 0.375 0.709
0.814 0.867 0.541
0.313 0.366 0.298
0.312 0.868 0.920
0.815 0.365 0.920
```

Values from the calculation:
DFT formation energy = -2.765 eV/f.u.
Magnetic moment = 0.000 Bohr magnetons per cell
Space-group type = C2/m, No. 12
E = -6.688 eV per atom
Distance to the lowest polymorph of the same formula = 0 meV per atom
Fermi-level density of states = 7.2 states/eV/cell

***

Record 2
LaSc2Pt: relaxed, PBE-GGA.

```
LaSc2Pt
1.0
6.099 -0.016 0.000
3.194 5.196 0.000
-4.646 -2.590 2.983
Sc La Pt
2 1 1
Direct
0.500 0.500 0.000
0.000 0.000 0.000
0.250 0.750 0.500
0.750 0.250 0.500
```

Values from the calculation:
DFT formation energy = -1.459 eV/f.u.
Magnetic moment = 0.944 Bohr magnetons per cell
Space-group type = I4/mmm, No. 139
E = -6.273 eV per atom
Fermi-level density of states = 5.1 states/eV/cell

***

Record 3
LaSc2Pt: relaxed, PBE-GGA.

```
LaSc2Pt
1.0
8.878 -0.023 -0.014
8.056 3.732 -0.014
8.056 1.765 3.289
Sc Pt La
2 1 1
Direct
0.028 0.028 0.028
0.472 0.472 0.472
0.750 0.750 0.750
0.250 0.250 0.250
```

Values from the calculation:
DFT formation energy = -1.821 eV/f.u.
Magnetic moment = 0.000 Bohr magnetons per cell
Space-group type = R-3m, No. 166
E = -6.363 eV per atom
Fermi-level density of states = 5.0 states/eV/cell

***

Record 4
LaSc2Pt: relaxed, PBE-GGA.

```
LaSc2Pt
1.0
-1.675 3.098 -0.785
-1.297 0.151 3.363
6.077 3.836 2.170
Pt La Sc
1 1 2
Direct
0.500 0.500 0.803
0.000 0.000 0.526
0.500 0.500 0.213
0.000 0.000 0.957
```

Values from the calculation:
DFT formation energy = -2.102 eV/f.u.
Magnetic moment = 0.309 Bohr magnetons per cell
Space-group type = P4mm, No. 99
E = -6.433 eV per atom
Fermi-level density of states = 3.7 states/eV/cell

***

Record 5
LaSc2Pt: relaxed, PBE-GGA.

```
LaSc2Pt
1.0
-4.224 1.393 0.778
-0.947 -3.412 0.970
0.944 -0.549 6.105
Pt Sc La
1 2 1
Direct
0.500 0.750 0.750
0.000 0.915 0.959
0.000 0.585 0.541
0.500 0.250 0.250
```

Values from the calculation:
DFT formation energy = -1.707 eV/f.u.
Magnetic moment = 0.000 Bohr magnetons per cell
Space-group type = P2/m, No. 10
E = -6.335 eV per atom
Fermi-level density of states = 5.1 states/eV/cell

***

Record 6
LaSc2Pt: relaxed, PBE-GGA.

```
LaSc2Pt
1.0
-1.335 -4.121 2.617
3.518 -3.359 1.399
1.291 -0.430 4.875
Sc La Pt
2 1 1
Direct
0.000 0.000 0.000
0.250 0.250 0.250
0.500 0.500 0.500
0.750 0.750 0.750
```

Values from the calculation:
DFT formation energy = -1.378 eV/f.u.
Magnetic moment = 1.340 Bohr magnetons per cell
Space-group type = F-43m, No. 216
E = -6.252 eV per atom
Fermi-level density of states = 5.9 states/eV/cell

***

Record 7
LaScPt: relaxed, PBE-GGA.

```
LaScPt
1.0
4.756 0.000 0.000
2.378 4.119 0.000
2.378 1.373 3.883
La Pt Sc
1 1 1
Direct
0.750 0.750 0.750
0.000 0.000 0.000
0.500 0.500 0.500
```

Values from the calculation:
DFT formation energy = -0.054 eV/f.u.
Magnetic moment = 0.000 Bohr magnetons per cell
Space-group type = F-43m, No. 216
E = -5.785 eV per atom
Distance to the lowest polymorph of the same formula = 904 meV per atom
Fermi-level density of states = 3.1 states/eV/cell

***

Record 8
La2ScPt: relaxed, PBE-GGA.

```
La2ScPt
1.0
6.246 0.016 0.000
3.164 5.386 0.000
-4.705 -2.701 3.096
Sc La Pt
1 2 1
Direct
0.750 0.250 0.500
0.000 0.000 0.000
0.250 0.750 0.500
0.500 0.500 0.000
```

Values from the calculation:
DFT formation energy = -1.371 eV/f.u.
Magnetic moment = 0.001 Bohr magnetons per cell
Space-group type = I-4m2, No. 119
E = -5.900 eV per atom
Distance to the lowest polymorph of the same formula = 226 meV per atom
Fermi-level density of states = 5.6 states/eV/cell

***

Question: The lowest Fermi-level density of states belongs to which entry?
Answer: number 7